[1]
## Ga3Co3Ni2 (PBE)

Data for Ga3Co3Ni2 after structural relaxation.

Unit cell a=5.267 b=5.267 c=4.015 alpha=90.00 beta=90.00 gamma=120.00
Sites, in units of the cell vectors:
Ga (0.000, 0.500, 0.000)
Ga (0.500, 0.000, 0.000)
Ga (0.500, 0.500, 0.000)
Co (0.331, 0.165, 0.500)
Co (0.835, 0.165, 0.500)
Co (0.835, 0.669, 0.500)
Ni (0.000, 0.000, 0.000)
Ni (0.333, 0.667, 0.500)

Values from the calculation:
**Volume**: 12.06 Å³/atom
**Final energy**: -5.320 eV per atom

***

[2]
## Li4Ge2IrPt (PBE)

Data for Li4Ge2IrPt after structural relaxation.

Unit cell a=4.242 b=4.242 c=5.994 alpha=90.00 beta=90.00 gamma=90.00
Sites, in units of the cell vectors:
Li (0.000, 0.000, 0.000)
Li (0.000, 0.500, 0.748)
Li (0.500, 0.000, 0.252)
Li (0.500, 0.500, 0.500)
Ge (0.000, 0.500, 0.240)
Ge (0.500, 0.000, 0.760)
Ir (0.500, 0.500, 0.000)
Pt (0.000, 0.000, 0.500)

Values from the calculation:
**Volume**: 13.48 Å³/atom
**Final energy**: -4.513 eV per atom

***

[3]
## Nd2GdMg3ZnIn2 (PBE)

Data for Nd2GdMg3ZnIn2 after structural relaxation.

Unit cell a=4.682 b=7.567 c=7.567 alpha=119.50 beta=90.00 gamma=90.00
Sites, in units of the cell vectors:
Nd (0.000, 0.205, 0.795)
Nd (0.000, 0.795, 0.205)
Gd (0.000, 0.385, 0.385)
Mg (0.500, 0.028, 0.028)
Mg (0.500, 0.558, 0.793)
Mg (0.500, 0.793, 0.558)
Zn (0.000, 0.788, 0.788)
In (0.500, 0.131, 0.460)
In (0.500, 0.460, 0.131)

Values from the calculation:
**Volume**: 25.93 Å³/atom
**Final energy**: -3.219 eV per atom

***

[4]
## LiAsPd2 (PBE)

Data for LiAsPd2 after structural relaxation.

Unit cell a=4.402 b=4.402 c=4.402 alpha=60.00 beta=60.00 gamma=60.00
Sites, in units of the cell vectors:
Li (0.000, 0.000, 0.000)
As (0.750, 0.750, 0.750)
Pd (0.250, 0.250, 0.250)
Pd (0.500, 0.500, 0.500)

Values from the calculation:
**Volume**: 15.08 Å³/atom
**Final energy**: -4.604 eV per atom

***

[5]
## Nd3Co (PBE)

Data for Nd3Co after structural relaxation.

Unit cell a=4.807 b=4.807 c=4.807 alpha=90.00 beta=90.00 gamma=90.00
Sites, in units of the cell vectors:
Nd (0.000, 0.000, 0.500)
Nd (0.000, 0.500, 0.000)
Nd (0.500, 0.000, 0.000)
Co (0.500, 0.500, 0.500)

Values from the calculation:
**Volume**: 27.77 Å³/atom
**Final energy**: -4.985 eV per atom

***

[6]
## Na2Tc2O5 (PBE)

Data for Na2Tc2O5 after structural relaxation.

Unit cell a=3.308 b=3.308 c=10.158 alpha=90.00 beta=90.00 gamma=90.00
Sites, in units of the cell vectors:
Na (0.000, 0.000, 0.236)
Na (0.000, 0.000, 0.764)
Tc (0.500, 0.500, 0.000)
Tc (0.500, 0.500, 0.500)
O (0.000, 0.000, 0.000)
O (0.000, 0.500, 0.385)
O (0.000, 0.500, 0.615)
O (0.500, 0.000, 0.385)
O (0.500, 0.000, 0.615)

Values from the calculation:
**Volume**: 12.35 Å³/atom
**Final energy**: -5.942 eV per atom

***

[7]
## HfTc2Mo (PBE)

Data for HfTc2Mo after structural relaxation.

Unit cell a=4.499 b=4.499 c=4.499 alpha=60.00 beta=60.00 gamma=60.00
Sites, in units of the cell vectors:
Hf (0.000, 0.000, 0.000)
Tc (0.250, 0.250, 0.250)
Tc (0.750, 0.750, 0.750)
Mo (0.500, 0.500, 0.500)

Values from the calculation:
**Volume**: 16.10 Å³/atom
**Final energy**: -10.675 eV per atom

***

[8]
## GaAg15 (PBE)

Data for GaAg15 after structural relaxation.

Unit cell a=5.843 b=2.928 c=46.754 alpha=90.00 beta=90.08 gamma=90.00
Sites, in units of the cell vectors:
Ga (0.125, 0.250, 0.336)
Ga (0.875, 0.750, 0.664)
Ag (0.125, 0.250, 0.067)
Ag (0.125, 0.250, 0.157)
Ag (0.125, 0.250, 0.246)
Ag (0.125, 0.250, 0.709)
Ag (0.125, 0.250, 0.799)
Ag (0.125, 0.250, 0.888)
Ag (0.125, 0.250, 0.978)
Ag (0.375, 0.750, 0.022)
Ag (0.375, 0.750, 0.112)
Ag (0.375, 0.750, 0.202)
Ag (0.375, 0.750, 0.291)
Ag (0.375, 0.750, 0.664)
Ag (0.375, 0.750, 0.754)
Ag (0.375, 0.750, 0.843)
Ag (0.375, 0.750, 0.933)
Ag (0.625, 0.250, 0.067)
Ag (0.625, 0.250, 0.157)
Ag (0.625, 0.250, 0.246)
Ag (0.625, 0.250, 0.336)
Ag (0.625, 0.250, 0.709)
Ag (0.625, 0.250, 0.798)
Ag (0.625, 0.250, 0.888)
Ag (0.625, 0.250, 0.978)
Ag (0.875, 0.750, 0.022)
Ag (0.875, 0.750, 0.112)
Ag (0.875, 0.750, 0.201)
Ag (0.875, 0.750, 0.291)
Ag (0.875, 0.750, 0.754)
Ag (0.875, 0.750, 0.843)
Ag (0.875, 0.750, 0.933)

Values from the calculation:
**Volume**: 25.00 Å³/atom
**Final energy**: -2.795 eV per atom

***

[9]
## ErZnAsO (PBE)

Data for ErZnAsO after structural relaxation.

Unit cell a=4.305 b=6.077 c=5.850 alpha=90.00 beta=90.00 gamma=90.00
Sites, in units of the cell vectors:
Er (0.000, 0.245, 0.000)
Er (0.000, 0.755, 0.500)
Zn (0.500, 0.366, 0.624)
Zn (0.500, 0.634, 0.124)
As (0.000, 0.228, 0.495)
As (0.000, 0.772, 0.995)
O (0.500, 0.322, 0.981)
O (0.500, 0.678, 0.481)

Values from the calculation:
**Volume**: 19.13 Å³/atom
**Final energy**: -5.478 eV per atom

***

[10]
## Li2ZnMoS4 (PBE)

Data for Li2ZnMoS4 after structural relaxation.

Unit cell a=6.334 b=6.716 c=10.105 alpha=90.00 beta=128.52 gamma=90.00
Sites, in units of the cell vectors:
Li (0.000, 0.161, 0.000)
Li (0.000, 0.839, 0.500)
Li (0.747, 0.334, 0.246)
Li (0.747, 0.666, 0.746)
Zn (0.255, 0.326, 0.750)
Zn (0.255, 0.674, 0.250)
Mo (0.498, 0.171, 0.495)
Mo (0.498, 0.829, 0.995)
S (0.148, 0.341, 0.259)
S (0.148, 0.659, 0.759)
S (0.380, 0.155, 0.992)
S (0.380, 0.845, 0.492)
S (0.615, 0.321, 0.738)
S (0.615, 0.679, 0.238)
S (0.871, 0.181, 0.505)
S (0.871, 0.819, 0.005)

Values from the calculation:
**Volume**: 21.02 Å³/atom
**Final energy**: -4.832 eV per atom

***

[11]
## Y3GePd4 (PBE)

Data for Y3GePd4 after structural relaxation.

Unit cell a=5.567 b=4.425 c=6.792 alpha=90.00 beta=92.00 gamma=90.00
Sites, in units of the cell vectors:
Y (0.000, 0.000, 0.000)
Y (0.219, 0.000, 0.497)
Y (0.512, 0.500, 0.866)
Ge (0.751, 0.500, 0.339)
Pd (0.009, 0.500, 0.708)
Pd (0.214, 0.500, 0.222)
Pd (0.541, 0.000, 0.172)
Pd (0.715, 0.000, 0.588)

Values from the calculation:
**Volume**: 20.90 Å³/atom
**Final energy**: -6.366 eV per atom

***

[12]
## SmErHg2 (PBE)

Data for SmErHg2 after structural relaxation.

Unit cell a=3.696 b=3.696 c=7.600 alpha=90.00 beta=90.00 gamma=90.00
Sites, in units of the cell vectors:
Sm (0.000, 0.000, 0.000)
Er (0.000, 0.000, 0.500)
Hg (0.500, 0.500, 0.266)
Hg (0.500, 0.500, 0.734)

Values from the calculation:
**Volume**: 25.96 Å³/atom
**Final energy**: -2.947 eV per atom

***

[13]
## RbMoPd (PBE)

Data for RbMoPd after structural relaxation.

Unit cell a=5.100 b=5.100 c=5.100 alpha=60.00 beta=60.00 gamma=60.00
Sites, in units of the cell vectors:
Rb (0.000, 0.000, 0.000)
Mo (0.750, 0.750, 0.750)
Pd (0.250, 0.250, 0.250)

Values from the calculation:
**Volume**: 31.27 Å³/atom
**Final energy**: -3.555 eV per atom

***

[14]
## AlCd2 (PBE)

Data for AlCd2 after structural relaxation.

Unit cell a=5.725 b=5.725 c=5.725 alpha=60.00 beta=60.00 gamma=60.00
Sites, in units of the cell vectors:
Al (0.125, 0.125, 0.125)
Al (0.875, 0.875, 0.875)
Cd (0.000, 0.500, 0.500)
Cd (0.500, 0.000, 0.500)
Cd (0.500, 0.500, 0.000)
Cd (0.500, 0.500, 0.500)

Values from the calculation:
**Volume**: 22.11 Å³/atom
**Final energy**: -1.555 eV per atom

***

[15]
## Er4AsO3 (PBE)

Data for Er4AsO3 after structural relaxation.

Unit cell a=6.134 b=6.134 c=6.134 alpha=130.47 beta=130.47 gamma=72.66
Sites, in units of the cell vectors:
Er (0.000, 0.500, 0.500)
Er (0.232, 0.232, 0.000)
Er (0.500, 0.000, 0.500)
Er (0.768, 0.768, 0.000)
As (0.500, 0.500, 0.000)
O (0.000, 0.000, 0.000)
O (0.250, 0.750, 0.500)
O (0.750, 0.250, 0.500)

Values from the calculation:
**Volume**: 16.32 Å³/atom
**Final energy**: -6.949 eV per atom

***

[16]
## Gd2AuSe3 (PBE)

Data for Gd2AuSe3 after structural relaxation.

Unit cell a=10.317 b=3.922 c=14.009 alpha=90.00 beta=90.00 gamma=90.00
Sites, in units of the cell vectors:
Gd (0.012, 0.250, 0.249)
Gd (0.236, 0.750, 0.524)
Gd (0.264, 0.250, 0.024)
Gd (0.488, 0.750, 0.749)
Gd (0.512, 0.250, 0.251)
Gd (0.736, 0.750, 0.976)
Gd (0.764, 0.250, 0.476)
Gd (0.988, 0.750, 0.751)
Au (0.241, 0.250, 0.723)
Au (0.259, 0.750, 0.223)
Au (0.741, 0.250, 0.777)
Au (0.759, 0.750, 0.277)
Se (0.042, 0.250, 0.597)
Se (0.069, 0.750, 0.095)
Se (0.238, 0.750, 0.865)
Se (0.262, 0.250, 0.365)
Se (0.431, 0.250, 0.595)
Se (0.458, 0.750, 0.097)
Se (0.542, 0.250, 0.903)
Se (0.569, 0.750, 0.405)
Se (0.738, 0.750, 0.635)
Se (0.762, 0.250, 0.135)
Se (0.931, 0.250, 0.905)
Se (0.958, 0.750, 0.403)

Values from the calculation:
**Volume**: 23.62 Å³/atom
**Final energy**: -5.171 eV per atom

***

[17]
## ScTlCuAu (PBE)

Data for ScTlCuAu after structural relaxation.

Unit cell a=4.738 b=4.738 c=4.738 alpha=60.00 beta=60.00 gamma=60.00
Sites, in units of the cell vectors:
Sc (0.000, 0.000, 0.000)
Tl (0.500, 0.500, 0.500)
Cu (0.750, 0.750, 0.750)
Au (0.250, 0.250, 0.250)

Values from the calculation:
**Volume**: 18.80 Å³/atom
**Final energy**: -4.191 eV per atom

***

[18]
## ScTcOs2 (PBE)

Data for ScTcOs2 after structural relaxation.

Unit cell a=4.428 b=4.428 c=4.428 alpha=60.00 beta=60.00 gamma=60.00
Sites, in units of the cell vectors:
Sc (0.000, 0.000, 0.000)
Tc (0.250, 0.250, 0.250)
Os (0.500, 0.500, 0.500)
Os (0.750, 0.750, 0.750)

Values from the calculation:
**Volume**: 15.35 Å³/atom
**Final energy**: -9.693 eV per atom

***

[19]
## BaDyMgSe3 (PBE)

Data for BaDyMgSe3 after structural relaxation.

Unit cell a=7.571 b=7.571 c=10.858 alpha=90.00 beta=90.00 gamma=147.65
Sites, in units of the cell vectors:
Ba (0.249, 0.751, 0.750)
Ba (0.751, 0.249, 0.250)
Dy (0.500, 0.500, 0.000)
Dy (0.500, 0.500, 0.500)
Mg (0.032, 0.968, 0.250)
Mg (0.968, 0.032, 0.750)
Se (0.135, 0.865, 0.061)
Se (0.135, 0.865, 0.439)
Se (0.429, 0.571, 0.250)
Se (0.571, 0.429, 0.750)
Se (0.865, 0.135, 0.561)
Se (0.865, 0.135, 0.939)

Values from the calculation:
**Volume**: 27.75 Å³/atom
**Final energy**: -4.663 eV per atom

***

[20]
## Nd6Cd23Sn (PBE)

Data for Nd6Cd23Sn after structural relaxation.

Unit cell a=10.034 b=10.034 c=10.034 alpha=60.00 beta=60.00 gamma=60.00
Sites, in units of the cell vectors:
Nd (0.223, 0.223, 0.777)
Nd (0.223, 0.777, 0.223)
Nd (0.223, 0.777, 0.777)
Nd (0.777, 0.223, 0.223)
Nd (0.777, 0.223, 0.777)
Nd (0.777, 0.777, 0.223)
Cd (0.000, 0.000, 0.500)
Cd (0.000, 0.500, 0.000)
Cd (0.000, 0.500, 0.500)
Cd (0.124, 0.625, 0.625)
Cd (0.157, 0.157, 0.157)
Cd (0.157, 0.157, 0.530)
Cd (0.157, 0.530, 0.157)
Cd (0.375, 0.375, 0.375)
Cd (0.375, 0.375, 0.876)
Cd (0.375, 0.876, 0.375)
Cd (0.470, 0.843, 0.843)
Cd (0.500, 0.000, 0.000)
Cd (0.500, 0.000, 0.500)
Cd (0.500, 0.500, 0.000)
Cd (0.500, 0.500, 0.500)
Cd (0.530, 0.157, 0.157)
Cd (0.625, 0.124, 0.625)
Cd (0.625, 0.625, 0.124)
Cd (0.625, 0.625, 0.625)
Cd (0.843, 0.470, 0.843)
Cd (0.843, 0.843, 0.470)
Cd (0.843, 0.843, 0.843)
Cd (0.876, 0.375, 0.375)
Sn (0.000, 0.000, 0.000)

Values from the calculation:
**Volume**: 23.81 Å³/atom
**Final energy**: -2.091 eV per atom